(1)
Material: ZnIn2Pd9
Method: DFT, PBE-GGA
State: optimized geometry

The crystal system is tetragonal. Its formation energy from the elements is -380.9 meV per atom.

It has space group P4/mmm (No. 123), with a = 4.007 Å, b = 4.007 Å, c = 11.919 Å, α = 90.00°, β = 90.00° and γ = 90.00°. The asymmetric unit holds Zn at (0.000, 0.000, 0.000), In at (0.000, 0.000, 0.329), Pd at (0.000, 0.500, 0.158), Pd at (0.000, 0.500, 0.500), Pd at (0.500, 0.500, 0.000) and Pd at (0.500, 0.500, 0.330).



(2)
Material: CaIr3Pd
Method: DFT, PBE-GGA
State: optimized geometry

The crystal system is cubic. Its formation energy from the elements is 2385.8 meV per atom.

It has space group Pm-3m (No. 221), with a = 4.736 Å, b = 4.736 Å, c = 4.736 Å, α = 90.00°, β = 90.00° and γ = 90.00°. The asymmetric unit holds Ca at (0.000, 0.000, 0.000), Ir at (0.000, 0.000, 0.500) and Pd at (0.500, 0.500, 0.500).



Ordered DFT total energy results: -4.84, -4.37; unit eV/atom.